[1]
Material: RePbAu4
Method: DFT, PBE-GGA
State: optimized geometry

Structure (POSCAR):
```
RePbAu4
1.0
3.5900 -3.9582 1.5931
-1.1962 -5.3725 -0.8939
2.8433 -2.8898 -3.8286
Re Au Pb
1 4 1
direct
0.0000 0.0000 0.0000
0.3745 0.3745 0.3745
0.3745 0.3745 0.8764
0.8764 0.3745 0.3745
0.3745 0.8764 0.3745
0.7500 0.7500 0.7500
```

Output
crystal system: cubic

=====

[2]
Material: Re2Pb2Au
Method: DFT, PBE-GGA
State: optimized geometry

Structure (POSCAR):
```
Re2Pb2Au
1.0
6.9359 0.0000 0.0000
0.0000 6.9359 0.0000
0.0000 0.0000 4.3472
Au Pb Re
2 4 4
direct
0.0000 0.0000 0.0000
0.5000 0.5000 0.0000
0.1770 0.6770 0.5000
0.3230 0.1770 0.5000
0.6770 0.8230 0.5000
0.8230 0.3230 0.5000
0.3781 0.8781 0.0000
0.8781 0.6219 0.0000
0.6219 0.1219 0.0000
0.1219 0.3781 0.0000
```

Output
crystal system: tetragonal

=====

[3]
Material: RePb4Au
Method: DFT, PBE-GGA
State: optimized geometry

Structure (POSCAR):
```
RePb4Au
1.0
3.5273 -2.7433 -4.3626
0.7309 -6.2020 0.0211
-2.6742 -3.4744 -4.4471
Pb Au Re
4 1 1
direct
0.3755 0.8736 0.3755
0.3755 0.3755 0.3755
0.3755 0.3755 0.8736
0.8736 0.3755 0.3755
0.0000 0.0000 0.0000
0.7500 0.7500 0.7500
```

Output
crystal system: cubic

=====

[4]
Material: RePb2Au
Method: DFT, PBE-GGA
State: optimized geometry

Structure (POSCAR):
```
RePb2Au
1.0
-1.2089 -0.5080 4.2528
-3.7969 -1.9177 -1.3084
1.7653 -9.7921 1.6606
Re Pb Au
2 4 2
direct
0.5000 0.5000 0.0000
0.2500 0.7500 0.5000
0.6160 0.1250 0.2500
0.3750 0.3840 0.7500
0.8750 0.8660 0.7500
0.1340 0.6250 0.2500
0.7500 0.2500 0.5000
0.0000 0.0000 0.0000
```

Output
crystal system: tetragonal

=====

no.,Fermi-level density of states (states/eV per atom),electronic total energy (eV per atom),size of the total moment (μB per formula unit)
1,0.399,-4.184,3.6
2,0.725,-6.371,0.0
3,0.798,-3.913,3.3
4,0.739,-4.777,1.9